(1)
Tb6TmAl (PBE-GGA, optimized geometry); density of states at the Fermi level = 11.86 states/eV/f.u.; SG = R-3; calculated formation energy = 38 meV/atom
1.0
9.154 0.009 0.167
4.573 7.223 -0.149
4.509 2.283 3.700
Tb Tm Al
6 1 1
direct
0.964 0.557 0.241 Tb
0.239 0.036 0.282 Tb
0.036 0.443 0.759 Tb
0.557 0.239 0.168 Tb
0.761 0.964 0.718 Tb
0.443 0.761 0.832 Tb
0.500 0.500 0.500 Tm
0.000 0.000 0.000 Al

=====

(2)
Tb5Tm4Al (PBE-GGA, optimized geometry); density of states at the Fermi level = 12.74 states/eV/f.u.; SG = I4mm; calculated formation energy = 137 meV/atom
1.0
5.647 0.000 0.000
2.824 7.419 0.000
2.824 0.000 7.419
Al Tm Tb
1 4 5
direct
0.174 0.000 0.000 Al
0.457 0.317 0.683 Tm
0.140 0.317 0.317 Tm
0.457 0.683 0.317 Tm
0.774 0.683 0.683 Tm
0.780 0.000 0.367 Tb
0.655 0.000 0.000 Tb
0.780 0.367 0.000 Tb
0.147 0.000 0.633 Tb
0.147 0.633 0.000 Tb

=====

(3)
Tb6TmAl2 (PBE-GGA, optimized geometry); density of states at the Fermi level = 9.97 states/eV/f.u.; SG = I-42m; calculated formation energy = 525 meV/atom
1.0
4.779 0.000 0.000
0.000 4.779 0.000
-2.389 -2.389 13.838
Al Tb Tm
2 6 1
direct
0.815 0.815 0.630 Al
0.185 0.185 0.370 Al
0.355 0.850 0.205 Tb
0.850 0.355 0.205 Tb
0.750 0.250 0.500 Tb
0.645 0.645 0.795 Tb
0.150 0.150 0.795 Tb
0.250 0.750 0.500 Tb
0.500 0.500 0.000 Tm

=====

(4)
TbTm2Al (PBE-GGA, optimized geometry); density of states at the Fermi level = 3.64 states/eV/f.u.; SG = P4/mmm; calculated formation energy = -199 meV/atom
1.0
-2.263 -0.535 2.596
1.981 -2.610 1.188
4.492 5.729 5.098
Tm Tb Al
2 1 1
direct
0.000 0.000 0.213 Tm
0.000 0.000 0.787 Tm
0.500 0.500 0.500 Tb
0.500 0.500 0.000 Al